Record 1
Rb2AuI2: optimized geometry, PBE-GGA.

- final energy (eV per atom) = -2.416
- space group = P4/mbm
- distance to the lowest polymorph of the same formula (meV/atom) = 0.0
- total magnetic moment (μB/atom) = 0.0000
- ΔE_f (raw) (eV/f.u.) = -3.77

Cell lengths 9.234, 9.234, 4.962 Å; angles 90.00, 90.00, 90.00 degrees
Positions (direct):
I: 0.337 0.837 0.000
I: 0.837 0.663 0.000
I: 0.663 0.163 0.000
I: 0.163 0.337 0.000
Au: 0.000 0.000 0.000
Au: 0.500 0.500 0.000
Rb: 0.149 0.649 0.500
Rb: 0.649 0.851 0.500
Rb: 0.851 0.351 0.500
Rb: 0.351 0.149 0.500



Record 2
Gd2TiCd: optimized geometry, PBE-GGA.

- final energy (eV per atom) = -9.263
- space group = P4/mmm
- distance to the lowest polymorph of the same formula (meV/atom) = 0.0
- total magnetic moment (μB/atom) = 3.6161
- ΔE_f (eV/f.u.) = -0.08

Cell lengths 3.401, 3.401, 8.827 Å; angles 90.00, 90.00, 90.00 degrees
Positions (direct):
Gd: 0.000 0.000 0.760
Gd: 0.000 0.000 0.240
Ti: 0.500 0.500 0.000
Cd: 0.500 0.500 0.500



Record 3
SmAlF5: optimized geometry, PBE-GGA.

- final energy (eV per atom) = -5.986
- space group = C2/c
- total magnetic moment (μB/atom) = 0.0385
- ΔE_f (raw) (eV/f.u.) = -24.08

Cell lengths 5.569, 5.569, 7.017 Å; angles 73.43, 73.43, 78.75 degrees
Positions (direct):
Sm: 0.509 0.491 0.250
Sm: 0.491 0.509 0.750
Al: 0.000 0.000 0.000
Al: 0.000 0.000 0.500
F: 0.849 0.716 0.123
F: 0.171 0.706 0.452
F: 0.716 0.849 0.623
F: 0.900 0.100 0.250
F: 0.294 0.829 0.048
F: 0.706 0.171 0.952
F: 0.100 0.900 0.750
F: 0.284 0.151 0.377
F: 0.829 0.294 0.548
F: 0.151 0.284 0.877



Record 4
YMoC2: optimized geometry, PBE-GGA.

- final energy (eV per atom) = -9.177
- space group = Pnma
- distance to the lowest polymorph of the same formula (meV/atom) = 0.0
- total magnetic moment (μB/atom) = 0.0000
- ΔE_f (eV/f.u.) = -0.97

Cell lengths 3.406, 5.715, 10.803 Å; angles 90.00, 90.00, 90.00 degrees
Positions (direct):
Y: 0.250 0.086 0.863
Y: 0.250 0.586 0.637
Y: 0.750 0.914 0.137
Y: 0.750 0.414 0.363
Mo: 0.250 0.402 0.110
Mo: 0.250 0.902 0.390
Mo: 0.750 0.598 0.890
Mo: 0.750 0.098 0.610
C: 0.250 0.158 0.247
C: 0.250 0.658 0.253
C: 0.750 0.842 0.753
C: 0.750 0.342 0.747
C: 0.250 0.723 0.983
C: 0.250 0.223 0.517
C: 0.750 0.277 0.017
C: 0.750 0.777 0.483



Record 5
SrTlSi2: optimized geometry, PBE-GGA.

- final energy (eV per atom) = -3.567
- space group = R-3m
- distance to the lowest polymorph of the same formula (meV/atom) = 271.1
- total magnetic moment (μB/atom) = 0.0000
- ΔE_f (raw) (eV/f.u.) = 0.63

Cell lengths 6.012, 6.012, 6.012 Å; angles 47.65, 47.65, 47.65 degrees
Positions (direct):
Si: 0.050 0.050 0.050
Si: 0.450 0.450 0.450
Sr: 0.250 0.250 0.250
Tl: 0.750 0.750 0.750



Record 6
YHoSO2: optimized geometry, PBE-GGA.

- final energy (eV per atom) = -8.070
- space group = I4mm
- total magnetic moment (μB/atom) = 0.0000
- ΔE_f (raw) (eV/f.u.) = -15.27

Cell lengths 3.777, 3.777, 6.538 Å; angles 106.79, 106.79, 90.00 degrees
Positions (direct):
Y: 0.848 0.848 0.695
Ho: 0.155 0.155 0.309
S: 0.500 0.500 0.999
O: 0.749 0.249 0.498
O: 0.249 0.749 0.498



Record 7
NdPuOs: optimized geometry, PBE-GGA.

- final energy (eV per atom) = -10.188
- space group = Pnma
- distance to the lowest polymorph of the same formula (meV/atom) = 0.0
- total magnetic moment (μB/atom) = 1.7340
- ΔE_f (eV/f.u.) = -0.23

Cell lengths 4.362, 8.630, 7.734 Å; angles 90.00, 90.00, 90.00 degrees
Positions (direct):
Pu: 0.262 0.428 0.349
Pu: 0.762 0.572 0.651
Pu: 0.762 0.928 0.151
Pu: 0.262 0.072 0.849
Os: 0.762 0.616 0.280
Os: 0.762 0.884 0.780
Os: 0.262 0.116 0.220
Os: 0.262 0.384 0.720
Nd: 0.762 0.172 0.521
Nd: 0.762 0.328 0.021
Nd: 0.262 0.672 0.979
Nd: 0.262 0.828 0.479



Record 8
LaHfS3: optimized geometry, PBE-GGA.

- final energy (eV per atom) = -7.279
- space group = C2/m
- distance to the lowest polymorph of the same formula (meV/atom) = 0.0
- total magnetic moment (μB/atom) = 0.0000
- ΔE_f (raw) (eV/f.u.) = -9.13

Cell lengths 3.793, 7.559, 8.383 Å; angles 91.63, 90.00, 75.47 degrees
Positions (direct):
La: 0.652 0.052 0.899
La: 0.431 0.494 0.715
Hf: 0.230 0.896 0.458
Hf: 0.853 0.650 0.155
S: 0.087 0.181 0.635
S: 0.791 0.773 0.636
S: 0.685 0.986 0.268
S: 0.292 0.772 0.977
S: 0.398 0.560 0.346
S: 0.996 0.365 0.979



Record 9
ReOs2Pt: optimized geometry, PBE-GGA.

- final energy (eV per atom) = -10.170
- space group = Pmmm
- distance to the lowest polymorph of the same formula (meV/atom) = 8.1
- total magnetic moment (μB/atom) = 0.0000
- ΔE_f (eV/f.u.) = 0.27

Cell lengths 2.738, 3.910, 5.511 Å; angles 90.00, 90.00, 90.00 degrees
Positions (direct):
Os: 0.000 0.000 0.991
Os: 0.000 0.000 0.509
Pt: 0.500 0.500 0.250
Re: 0.500 0.500 0.750



Record 10
TmScZnFe: optimized geometry, PBE-GGA.

- final energy (eV per atom) = -5.269
- space group = F-43m
- total magnetic moment (μB/atom) = 0.1932
- ΔE_f (eV/f.u.) = -0.53

Cell lengths 4.700, 4.700, 4.700 Å; angles 60.00, 60.00, 60.00 degrees
Positions (direct):
Sc: 0.250 0.250 0.250
Zn: 0.000 0.000 0.000
Tm: 0.750 0.750 0.750
Fe: 0.500 0.500 0.500



Record 11
LaZrBr2: optimized geometry, PBE-GGA.

- final energy (eV per atom) = -4.725
- space group = Fm-3m
- distance to the lowest polymorph of the same formula (meV/atom) = 424.6
- total magnetic moment (μB/atom) = 0.0001
- ΔE_f (raw) (eV/f.u.) = -2.08

Cell lengths 5.157, 5.157, 5.157 Å; angles 60.00, 60.00, 60.00 degrees
Positions (direct):
Br: 0.250 0.250 0.250
Br: 0.750 0.750 0.750
Zr: 0.000 0.000 0.000
La: 0.500 0.500 0.500



Record 12
Ac3Zn2IrO9: optimized geometry, PBE-GGA.

- final energy (eV per atom) = -6.740
- space group = P-3m1
- total magnetic moment (μB/atom) = 0.1357
- ΔE_f (raw) (eV/f.u.) = -32.74

Cell lengths 5.735, 5.735, 7.032 Å; angles 90.00, 90.00, 120.00 degrees
Positions (direct):
Ac: 0.333 0.667 0.701
Ac: 0.000 0.000 0.000
Ac: 0.667 0.333 0.299
Zn: 0.333 0.667 0.166
Zn: 0.667 0.333 0.834
Ir: 0.000 0.000 0.500
O: 0.840 0.160 0.666
O: 0.840 0.679 0.666
O: 0.321 0.160 0.666
O: 0.679 0.840 0.334
O: 0.160 0.321 0.334
O: 0.160 0.840 0.334
O: 0.500 0.000 0.000
O: 0.000 0.500 0.000
O: 0.500 0.500 0.000